VASP calculation (meta-GGA SCAN) on a PBEsol-optimized structure of Se.

Calculated values
E_form (uncorrected) ... 0.046 eV per atom

a = 4.403 Å, b = 9.429 Å, c = 9.429 Å
α = 90.00°, β = 90.00°, γ = 90.00°
Positions (direct):
Se 0.312 0.701 0.701
Se 0.568 0.785 0.500
Se 0.568 0.500 0.785
Se 0.568 0.215 0.500
Se 0.312 0.701 0.299
Se 0.312 0.299 0.299
Se 0.568 0.500 0.215
Se 0.312 0.299 0.701

VASP calculation (meta-GGA SCAN) on a PBEsol-optimized structure of Se.

Calculated values
E_form (uncorrected) ... 0.096 eV per atom

a = 3.736 Å, b = 5.172 Å, c = 4.050 Å
α = 90.56°, β = 117.47°, γ = 90.00°
Positions (direct):
Se 0.381 0.332 0.763
Se 0.619 0.668 0.237
Se 0.000 0.000 0.000

VASP calculation (meta-GGA SCAN) on a PBEsol-optimized structure of Se.

Calculated values
E_form (uncorrected) ... 0.879 eV per atom

a = 3.006 Å, b = 3.006 Å, c = 3.006 Å
α = 60.00°, β = 60.00°, γ = 60.00°
Positions (direct):
Se 0.000 0.000 0.000

VASP calculation (meta-GGA SCAN) on a PBEsol-optimized structure of Se.

Calculated values
E_form (uncorrected) ... 0.000 eV per atom

a = 8.874 Å, b = 8.874 Å, c = 11.464 Å
α = 90.00°, β = 91.50°, γ = 90.00°
Positions (direct):
Se 0.675 0.631 0.455
Se 0.165 0.729 0.673
Se 0.329 0.518 0.227
Se 0.919 0.483 0.220
Se 0.439 0.347 0.362
Se 0.175 0.869 0.955
Se 0.825 0.131 0.045
Se 0.365 0.681 0.939
Se 0.081 0.517 0.780
Se 0.561 0.653 0.638
Se 0.091 0.685 0.478
Se 0.665 0.771 0.173
Se 0.581 0.983 0.280
Se 0.366 0.889 0.373
Se 0.419 0.017 0.720
Se 0.591 0.815 0.978
Se 0.634 0.111 0.627
Se 0.171 0.018 0.273
Se 0.335 0.229 0.827
Se 0.671 0.482 0.773
Se 0.635 0.319 0.061
Se 0.829 0.982 0.727
Se 0.865 0.819 0.439
Se 0.939 0.153 0.862
Se 0.135 0.181 0.561
Se 0.134 0.389 0.127
Se 0.909 0.315 0.522
Se 0.866 0.611 0.873
Se 0.835 0.271 0.327
Se 0.325 0.369 0.545
Se 0.061 0.847 0.138
Se 0.409 0.185 0.022

VASP calculation (meta-GGA SCAN) on a PBEsol-optimized structure of Se.

Calculated values
E_form (uncorrected) ... 0.436 eV per atom

a = 3.562 Å, b = 3.562 Å, c = 3.816 Å
α = 90.00°, β = 90.00°, γ = 120.00°
Positions (direct):
Se 0.333 0.667 0.250
Se 0.667 0.333 0.750

VASP calculation (meta-GGA SCAN) on a PBEsol-optimized structure of Se.

Calculated values
E_form (uncorrected) ... 0.020 eV per atom

a = 4.022 Å, b = 4.022 Å, c = 5.135 Å
α = 90.00°, β = 90.00°, γ = 120.00°
Positions (direct):
Se 0.000 0.749 0.833
Se 0.749 0.000 0.500
Se 0.251 0.251 0.167

VASP calculation (meta-GGA SCAN) on a PBEsol-optimized structure of Se.

Calculated values
E_form (uncorrected) ... 0.035 eV per atom

a = 4.545 Å, b = 6.351 Å, c = 6.351 Å
α = 65.50°, β = 76.20°, γ = 103.80°
Positions (direct):
Se 0.305 0.395 0.864
Se 0.090 0.259 0.605
Se 0.831 0.136 0.259
Se 0.910 0.741 0.395
Se 0.169 0.864 0.741
Se 0.695 0.605 0.136

VASP calculation (meta-GGA SCAN) on a PBEsol-optimized structure of Se.

Calculated values
E_form (uncorrected) ... 0.184 eV per atom

a = 2.729 Å, b = 3.724 Å, c = 5.133 Å
α = 111.06°, β = 90.00°, γ = 90.00°
Positions (direct):
Se 0.000 0.375 0.751
Se 0.000 0.625 0.249

VASP calculation (meta-GGA SCAN) on a PBEsol-optimized structure of Se.

Calculated values
E_form (uncorrected) ... 0.237 eV per atom

a = 2.601 Å, b = 2.601 Å, c = 4.119 Å
α = 108.40°, β = 108.40°, γ = 90.00°
Positions (direct):
Se 0.000 0.000 0.000

VASP calculation (meta-GGA SCAN) on a PBEsol-optimized structure of SiSe3.

Calculated values
E_form (uncorrected) ... 0.423 eV per atom

a = 2.621 Å, b = 5.047 Å, c = 6.755 Å
α = 90.00°, β = 90.00°, γ = 90.00°
Positions (direct):
Se 0.000 0.243 0.000
Si 0.500 0.500 0.500
Se 0.000 0.757 0.000
Se 0.500 0.000 0.500

VASP calculation (meta-GGA SCAN) on a PBEsol-optimized structure of Si4Se.

Calculated values
E_form (uncorrected) ... 0.399 eV per atom

a = 4.353 Å, b = 4.353 Å, c = 5.463 Å
α = 113.48°, β = 113.48°, γ = 90.00°
Positions (direct):
Si 0.372 0.372 0.745
Si 0.628 0.628 0.255
Si 0.250 0.750 0.500
Se 0.000 0.000 0.000
Si 0.750 0.250 0.500

VASP calculation (meta-GGA SCAN) on a PBEsol-optimized structure of SiSe3.

Calculated values
E_form (uncorrected) ... 0.272 eV per atom

a = 3.632 Å, b = 5.254 Å, c = 8.318 Å
α = 90.00°, β = 90.00°, γ = 90.00°
Positions (direct):
Se 0.500 0.000 0.440
Se 0.000 0.257 0.131
Si 0.500 0.500 0.357
Se 0.500 0.757 0.869
Se 0.000 0.500 0.560
Se 0.500 0.243 0.869
Se 0.000 0.743 0.131
Si 0.000 0.000 0.643

VASP calculation (meta-GGA SCAN) on a PBEsol-optimized structure of SiSe3.

Calculated values
E_form (uncorrected) ... 0.174 eV per atom

a = 3.674 Å, b = 3.674 Å, c = 7.063 Å
α = 74.93°, β = 74.93°, γ = 60.00°
Positions (direct):
Se 0.500 0.500 0.500
Se 0.261 0.261 0.216
Si 0.000 0.000 0.000
Se 0.739 0.739 0.784

VASP calculation (meta-GGA SCAN) on a PBEsol-optimized structure of SiSn2Se.

Calculated values
E_form (uncorrected) ... 0.445 eV per atom

a = 4.962 Å, b = 4.962 Å, c = 4.962 Å
α = 60.00°, β = 60.00°, γ = 60.00°
Positions (direct):
Se 0.500 0.500 0.500
Sn 0.250 0.250 0.250
Si 0.000 0.000 0.000
Sn 0.750 0.750 0.750

VASP calculation (meta-GGA SCAN) on a PBEsol-optimized structure of SrSiSe2.

Calculated values
E_form (uncorrected) ... -0.058 eV per atom

a = 5.081 Å, b = 5.081 Å, c = 5.081 Å
α = 60.00°, β = 60.00°, γ = 60.00°
Positions (direct):
Si 0.500 0.500 0.500
Se 0.750 0.750 0.750
Se 0.000 0.000 0.000
Sr 0.250 0.250 0.250

VASP calculation (meta-GGA SCAN) on a PBEsol-optimized structure of SrSiSe2.

Calculated values
E_form (uncorrected) ... -1.119 eV per atom

a = 3.964 Å, b = 4.328 Å, c = 6.036 Å
α = 91.72°, β = 109.17°, γ = 90.00°
Positions (direct):
Se 0.289 0.369 0.578
Si 0.493 0.327 0.985
Se 0.000 0.944 0.000
Sr 0.718 0.861 0.436

VASP calculation (meta-GGA SCAN) on a PBEsol-optimized structure of SrSiSe.

Calculated values
E_form (uncorrected) ... -0.577 eV per atom

a = 4.177 Å, b = 4.177 Å, c = 5.608 Å
α = 111.86°, β = 111.86°, γ = 90.00°
Positions (direct):
Se 0.055 0.055 0.111
Si 0.301 0.301 0.601
Sr 0.644 0.644 0.288

VASP calculation (meta-GGA SCAN) on a PBEsol-optimized structure of TaSi3Se.

Calculated values
E_form (uncorrected) ... 0.990 eV per atom

a = 4.873 Å, b = 4.873 Å, c = 4.873 Å
α = 90.00°, β = 90.00°, γ = 90.00°
Positions (direct):
Ta 0.000 0.000 0.000
Si 0.500 0.000 0.000
Se 0.500 0.500 0.500
Si 0.000 0.500 0.000
Si 0.000 0.000 0.500

VASP calculation (meta-GGA SCAN) on a PBEsol-optimized structure of Ta2SiSe.

Calculated values
E_form (uncorrected) ... -0.198 eV per atom

a = 3.198 Å, b = 4.543 Å, c = 4.854 Å
α = 103.30°, β = 109.24°, γ = 90.00°
Positions (direct):
Se 0.503 0.558 0.007
Ta 0.239 0.689 0.478
Si 0.744 0.185 0.488
Ta 0.014 0.067 0.028

VASP calculation (meta-GGA SCAN) on a PBEsol-optimized structure of TaSi3Se.

Calculated values
E_form (uncorrected) ... 1.587 eV per atom

a = 4.581 Å, b = 4.581 Å, c = 4.581 Å
α = 90.00°, β = 90.00°, γ = 90.00°
Positions (direct):
Si 0.000 0.500 0.000
Si 0.500 0.000 0.000
Ta 0.500 0.500 0.500
Si 0.000 0.000 0.500
Se 0.000 0.000 0.000

Magnetic moment values (in μB per formula unit) by entry order: 0.0, 0.0, 0.0, 0.0, 0.0, 0.0, 0.0, 0.0, 0.0, 0.0, 0.0, 0.0, 0.0, 0.0, 0.0, 0.0, 0.0, 0.0, 0.0, 0.0.